Arrangement i

VASP calculation (PBE) on a geometry-optimized YGaSn3 structure.

Results
**Space-group type**: Pm-3m
**DOS(E_F)**: 3.88 states/eV/cell

a = 5.295 Å, b = 5.295 Å, c = 5.295 Å
α = 90.00°, β = 90.00°, γ = 90.00°
Fractional positions:
Ga 0.000 0.000 0.000
Sn 0.000 0.000 0.500
Sn 0.500 0.000 0.000
Y 0.500 0.500 0.500
Sn 0.000 0.500 0.000

***

Arrangement ii

VASP calculation (PBE) on a geometry-optimized YGaSn3 structure.

Results
**Space-group type**: Pm-3m
**DOS(E_F)**: 3.05 states/eV/cell

a = 5.772 Å, b = 5.772 Å, c = 5.772 Å
α = 90.00°, β = 90.00°, γ = 90.00°
Fractional positions:
Sn 0.000 0.500 0.000
Y 0.000 0.000 0.000
Ga 0.500 0.500 0.500
Sn 0.500 0.000 0.000
Sn 0.000 0.000 0.500

***

Verdict on stability: arrangement ii comes out at the bottom.

***

Arrangement i

VASP calculation (PBE) on a geometry-optimized Zn4Ga4Sn structure.

Results
**Space-group type**: P4_2/nmc
**DOS(E_F)**: 8.04 states/eV/cell

a = 6.290 Å, b = 6.290 Å, c = 8.686 Å
α = 90.00°, β = 90.00°, γ = 90.00°
Fractional positions:
Ga 0.500 0.760 0.774
Zn 0.000 0.715 0.431
Zn 0.215 0.500 0.931
Zn 0.715 0.000 0.569
Zn 0.500 0.215 0.069
Ga 0.500 0.240 0.774
Zn 0.500 0.785 0.069
Ga 0.000 0.740 0.726
Ga 0.240 0.500 0.226
Zn 0.285 0.000 0.569
Zn 0.000 0.285 0.431
Ga 0.000 0.260 0.726
Zn 0.785 0.500 0.931
Ga 0.760 0.500 0.226
Ga 0.260 0.000 0.274
Sn 0.500 0.500 0.500
Ga 0.740 0.000 0.274
Sn 0.000 0.000 0.000

***

Arrangement ii

VASP calculation (PBE) on a geometry-optimized Zn4Ga4Sn structure.

Results
**Space-group type**: C2/m
**DOS(E_F)**: 2.34 states/eV/cell

a = 4.246 Å, b = 6.516 Å, c = 6.516 Å
α = 85.10°, β = 72.65°, γ = 72.65°
Fractional positions:
Ga 0.321 0.352 0.999
Zn 0.362 0.652 0.651
Zn 0.000 0.349 0.651
Zn 0.638 0.348 0.349
Ga 0.321 0.000 0.352
Ga 0.679 0.648 0.001
Zn 0.000 0.651 0.349
Ga 0.679 0.000 0.648
Sn 0.000 0.000 0.000

***

Verdict on stability: arrangement i comes out at the bottom.

***

Arrangement i

VASP calculation (PBE) on a geometry-optimized Zn2Ga2Sn structure.

Results
**Space-group type**: P4/mbm
**DOS(E_F)**: 4.15 states/eV/cell

a = 7.870 Å, b = 7.870 Å, c = 3.144 Å
α = 90.00°, β = 90.00°, γ = 90.00°
Fractional positions:
Zn 0.374 0.874 0.000
Ga 0.330 0.170 0.500
Sn 0.000 0.000 0.000
Ga 0.670 0.830 0.500
Ga 0.170 0.670 0.500
Zn 0.874 0.626 0.000
Ga 0.830 0.330 0.500
Sn 0.500 0.500 0.000
Zn 0.626 0.126 0.000
Zn 0.126 0.374 0.000

***

Arrangement ii

VASP calculation (PBE) on a geometry-optimized Zn2Ga2Sn structure.

Results
**Space-group type**: I4/mmm
**DOS(E_F)**: 1.60 states/eV/cell

a = 4.068 Å, b = 4.068 Å, c = 6.581 Å
α = 71.99°, β = 71.99°, γ = 90.00°
Fractional positions:
Ga 0.250 0.750 0.500
Zn 0.396 0.396 0.209
Sn 0.000 0.000 0.000
Ga 0.750 0.250 0.500
Zn 0.604 0.604 0.791

***

Arrangement iii

VASP calculation (PBE) on a geometry-optimized Zn2Ga2Sn structure.

Results
**Space-group type**: P4/mbm
**DOS(E_F)**: 3.57 states/eV/cell

a = 7.802 Å, b = 7.802 Å, c = 3.209 Å
α = 90.00°, β = 90.00°, γ = 90.00°
Fractional positions:
Ga 0.626 0.126 0.000
Zn 0.828 0.328 0.500
Ga 0.126 0.374 0.000
Zn 0.328 0.172 0.500
Sn 0.500 0.500 0.000
Ga 0.874 0.626 0.000
Zn 0.672 0.828 0.500
Ga 0.374 0.874 0.000
Sn 0.000 0.000 0.000
Zn 0.172 0.672 0.500

***

Arrangement iv

VASP calculation (PBE) on a geometry-optimized Zn2Ga2Sn structure.

Results
**Space-group type**: C2/m
**DOS(E_F)**: 1.88 states/eV/cell

a = 4.820 Å, b = 4.820 Å, c = 6.807 Å
α = 57.86°, β = 57.86°, γ = 49.89°
Fractional positions:
Ga 0.418 0.418 0.758
Zn 0.811 0.811 0.576
Sn 0.000 0.000 0.000
Zn 0.189 0.189 0.424
Ga 0.582 0.582 0.242

***

Verdict on stability: arrangement iii comes out at the bottom.

***

Arrangement i

VASP calculation (PBE) on a geometry-optimized Zn3Ga3Sn structure.

Results
**Space-group type**: P6_3/mmc
**DOS(E_F)**: 4.99 states/eV/cell

a = 4.670 Å, b = 8.201 Å, c = 8.201 Å
α = 120.00°, β = 90.00°, γ = 90.00°
Fractional positions:
Ga 0.250 0.884 0.767
Ga 0.750 0.767 0.883
Zn 0.250 0.543 0.087
Ga 0.250 0.883 0.116
Ga 0.250 0.233 0.117
Zn 0.750 0.457 0.913
Ga 0.750 0.116 0.233
Sn 0.750 0.667 0.333
Zn 0.750 0.456 0.543
Ga 0.750 0.117 0.884
Zn 0.250 0.544 0.457
Sn 0.250 0.333 0.667
Zn 0.750 0.087 0.544
Zn 0.250 0.913 0.456

***

Arrangement ii

VASP calculation (PBE) on a geometry-optimized Zn3Ga3Sn structure.

Results
**Space-group type**: Pm-3n
**DOS(E_F)**: 7.36 states/eV/cell

a = 7.028 Å, b = 7.028 Å, c = 7.028 Å
α = 90.00°, β = 90.00°, γ = 90.00°
Fractional positions:
Sn 0.000 0.000 0.000
Zn 0.500 0.000 0.750
Ga 0.750 0.000 0.500
Zn 0.250 0.500 0.000
Sn 0.500 0.500 0.500
Zn 0.750 0.500 0.000
Ga 0.000 0.500 0.250
Ga 0.500 0.250 0.000
Ga 0.500 0.750 0.000
Ga 0.250 0.000 0.500
Zn 0.000 0.750 0.500
Zn 0.500 0.000 0.250
Ga 0.000 0.500 0.750
Zn 0.000 0.250 0.500

***

Verdict on stability: arrangement ii comes out at the bottom.

***

Arrangement i

VASP calculation (PBE) on a geometry-optimized ZrGaSn structure.

Results
**Space-group type**: P-6m2
**DOS(E_F)**: 2.42 states/eV/cell

a = 3.013 Å, b = 4.903 Å, c = 4.903 Å
α = 120.00°, β = 90.00°, γ = 90.00°
Fractional positions:
Ga 0.499 0.667 0.333
Sn 0.501 0.333 0.667
Zr 0.000 0.000 0.000

***

Arrangement ii

VASP calculation (PBE) on a geometry-optimized ZrGaSn structure.

Results
**Space-group type**: Pmmm
**DOS(E_F)**: 2.26 states/eV/cell

a = 4.309 Å, b = 4.082 Å, c = 8.059 Å
α = 90.00°, β = 90.00°, γ = 90.00°
Fractional positions:
Sn 0.500 0.000 0.750
Ga 0.000 0.000 0.500
Ga 0.000 0.000 0.000
Zr 0.000 0.500 0.250
Zr 0.000 0.500 0.750
Sn 0.500 0.000 0.250

***

Arrangement iii

VASP calculation (PBE) on a geometry-optimized ZrGaSn structure.

Results
**Space-group type**: Cmcm
**DOS(E_F)**: 3.10 states/eV/cell

a = 4.056 Å, b = 4.159 Å, c = 7.715 Å
α = 105.64°, β = 90.00°, γ = 90.00°
Fractional positions:
Ga 0.250 0.444 0.888
Ga 0.750 0.556 0.112
Sn 0.250 0.752 0.503
Sn 0.750 0.248 0.497
Zr 0.750 0.908 0.817
Zr 0.250 0.092 0.183

***

Verdict on stability: arrangement i comes out at the bottom.

***

Arrangement i

VASP calculation (PBE) on a geometry-optimized ZrGaSn3 structure.

Results
**Space-group type**: Pm-3m
**DOS(E_F)**: 5.86 states/eV/cell

a = 5.209 Å, b = 5.209 Å, c = 5.209 Å
α = 90.00°, β = 90.00°, γ = 90.00°
Site moments in Bohr magnetons follow the coordinates.
Fractional positions:
Zr 0.500 0.500 0.500  0.11
Sn 0.500 0.000 0.000  0.00
Sn 0.000 0.500 0.000  0.00
Ga 0.000 0.000 0.000  0.01
Sn 0.000 0.000 0.500  0.00

***

Arrangement ii

VASP calculation (PBE) on a geometry-optimized ZrGaSn3 structure.

Results
**Space-group type**: Pm-3m
**DOS(E_F)**: 1.90 states/eV/cell

a = 5.560 Å, b = 5.560 Å, c = 5.560 Å
α = 90.00°, β = 90.00°, γ = 90.00°
Fractional positions:
Sn 0.500 0.000 0.000
Sn 0.000 0.000 0.500
Zr 0.000 0.000 0.000
Sn 0.000 0.500 0.000
Ga 0.500 0.500 0.500

***

Verdict on stability: arrangement i comes out at the bottom.

***

Arrangement i

VASP calculation (PBE) on a geometry-optimized Zr2GaSn2 structure.

Results
**Space-group type**: I4/mmm
**DOS(E_F)**: 3.98 states/eV/cell

a = 4.021 Å, b = 4.021 Å, c = 7.910 Å
α = 75.28°, β = 75.28°, γ = 90.00°
Fractional positions:
Ga 0.000 0.000 0.000
Sn 0.250 0.750 0.500
Zr 0.405 0.405 0.190
Zr 0.595 0.595 0.810
Sn 0.750 0.250 0.500

***

Arrangement ii

VASP calculation (PBE) on a geometry-optimized Zr2GaSn2 structure.

Results
**Space-group type**: P4/mbm
**DOS(E_F)**: 7.72 states/eV/cell

a = 7.491 Å, b = 7.491 Å, c = 4.068 Å
α = 90.00°, β = 90.00°, γ = 90.00°
Fractional positions:
Sn 0.645 0.145 0.000
Sn 0.855 0.645 0.000
Sn 0.145 0.355 0.000
Zr 0.157 0.657 0.500
Ga 0.500 0.500 0.000
Ga 0.000 0.000 0.000
Sn 0.355 0.855 0.000
Zr 0.843 0.343 0.500
Zr 0.343 0.157 0.500
Zr 0.657 0.843 0.500

***

Verdict on stability: arrangement i comes out at the bottom.

***

Arrangement i

VASP calculation (PBE) on a geometry-optimized ZrGa3Sn structure.

Results
**Space-group type**: Pm-3m
**DOS(E_F)**: 4.32 states/eV/cell

a = 5.123 Å, b = 5.123 Å, c = 5.123 Å
α = 90.00°, β = 90.00°, γ = 90.00°
Fractional positions:
Zr 0.500 0.500 0.500
Sn 0.000 0.000 0.000
Ga 0.500 0.000 0.000
Ga 0.000 0.500 0.000
Ga 0.000 0.000 0.500

***

Arrangement ii

VASP calculation (PBE) on a geometry-optimized ZrGa3Sn structure.

Results
**Space-group type**: Pm-3m
**DOS(E_F)**: 3.12 states/eV/cell

a = 5.229 Å, b = 5.229 Å, c = 5.229 Å
α = 90.00°, β = 90.00°, γ = 90.00°
Fractional positions:
Sn 0.500 0.500 0.500
Ga 0.500 0.000 0.000
Zr 0.000 0.000 0.000
Ga 0.000 0.500 0.000
Ga 0.000 0.000 0.500

***

Verdict on stability: arrangement i comes out at the bottom.